A relaxed LaSmEuCd crystal. Source: the Alexandria database, functional PBE-GGA.

```
data_LaSmEuCd
_chemical_formula_sum 'La4 Sm4 Eu4 Cd4'
_symmetry_space_group_name_H-M 'F -4 3 m'
_symmetry_Int_Tables_number 216
_symmetry_space_group_name_Hall 'F -4 2 3'
_cell_length_a 8.0073
_cell_length_b 8.0073
_cell_length_c 8.0073
_cell_angle_alpha 90.00
_cell_angle_beta 90.00
_cell_angle_gamma 90.00
loop_
_atom_site_label
_atom_site_fract_x
_atom_site_fract_y
_atom_site_fract_z
La1 0.0000 0.0000 0.0000
Sm1 0.0000 0.0000 0.5000
Eu1 0.2500 0.2500 0.2500
Cd1 0.2500 0.2500 0.7500
```

## Properties
Size of the total moment (μB per cell): 29.055
Energy (eV per cell): -84.09
DFT formation energy (eV/f.u.): -0.187
Crystal system: cubic